DFT (PBE) results for a relaxed structure of Dy2FeCl.

Calculated values
The formation energy (no corrections) comes out at -0.607 eV per atom.

Unit cell a=3.7108 b=3.7108 c=7.9762 alpha=76.55 beta=76.55 gamma=60.00
Each line ends with the local moment (μB).
Fractional coordinates of all 4 atoms:
Dy (0.2625, 0.2625, 0.2126)  -0.17
Dy (0.7375, 0.7375, 0.7874)  -0.17
Cl (0.5000, 0.5000, 0.5000)  0.00
Fe (0.0000, 0.0000, 0.0000)  1.20